## BaZrBr2 (PBE-GGA)

Data for crystalline BaZrBr2 at its relaxed geometry.

Summary:
ΔE to the lowest computed polymorph ... 0.68 eV/f.u.

Unit cell a=7.521 b=7.521 c=7.521 alpha=151.52 beta=143.39 gamma=47.02
Positions (direct):
Br  0.692  0.192  0.500
Br  0.984  0.984  0.000
Zr  0.525  0.525  0.000
Ba  0.299  0.799  0.500



## NaAcAs2Pd5 (PBE-GGA)

Data for crystalline NaAcAs2Pd5 at its relaxed geometry.

Summary:
Energy of formation from the pure elements ... -0.59 eV/atom

Unit cell a=4.360 b=4.360 c=9.328 alpha=90.00 beta=90.00 gamma=90.00
Positions (direct):
Pd  0.000  0.500  0.734
Pd  0.000  0.500  0.266
Pd  0.500  0.000  0.734
Pd  0.500  0.000  0.266
Pd  0.500  0.500  0.500
Na  0.000  0.000  0.000
Ac  0.000  0.000  0.500
As  0.500  0.500  0.136
As  0.500  0.500  0.864



## Ac6PdPt (PBE-GGA)

Data for crystalline Ac6PdPt at its relaxed geometry.

Summary:
Energy of formation from the pure elements ... -0.07 eV/atom

Unit cell a=7.306 b=8.492 c=8.492 alpha=67.87 beta=73.33 gamma=106.67
Positions (direct):
Pd  0.000  0.000  0.000
Ac  0.161  0.000  0.289
Ac  0.839  0.289  0.000
Ac  0.161  0.711  0.000
Ac  0.550  0.711  0.289
Ac  0.450  0.289  0.711
Ac  0.839  0.000  0.711
Pt  0.500  0.000  0.000



## TiIn2Sb (PBE-GGA)

Data for crystalline TiIn2Sb at its relaxed geometry.

Summary:
Final energy ... -33.228 eV for the cell shown

Unit cell a=8.262 b=8.262 c=6.530 alpha=50.76 beta=50.76 gamma=90.00
Positions (direct):
Ti  0.250  0.750  0.500
Ti  0.500  0.500  0.000
In  0.135  0.625  0.250
In  0.875  0.865  0.750
In  0.615  0.125  0.250
In  0.375  0.385  0.750
Sb  0.000  0.000  0.000
Sb  0.750  0.250  0.500



## NbGePt3 (PBE-GGA)

Data for crystalline NbGePt3 at its relaxed geometry.

Summary:
Energy of formation from the pure elements ... 0.56 eV/atom
ΔE to the lowest computed polymorph ... 0.00 eV/f.u.

Unit cell a=4.618 b=4.618 c=4.618 alpha=90.00 beta=90.00 gamma=90.00
Positions (direct):
Ge  0.000  0.000  0.000
Pt  0.500  0.000  0.000
Pt  0.000  0.500  0.000
Pt  0.000  0.000  0.500
Nb  0.500  0.500  0.500



## Li2Ac5Ge4 (PBE-GGA)

Data for crystalline Li2Ac5Ge4 at its relaxed geometry.

Summary:
Energy of formation from the pure elements ... -0.47 eV/atom

Unit cell a=4.450 b=7.723 c=10.995 alpha=110.54 beta=101.68 gamma=90.00
Positions (direct):
Ge  0.000  0.327  0.000
Ge  0.295  0.295  0.590
Ge  0.705  0.705  0.410
Ge  0.000  0.673  0.000
Ac  0.161  0.919  0.323
Ac  0.500  0.000  0.000
Ac  0.161  0.403  0.323
Ac  0.839  0.597  0.677
Ac  0.839  0.081  0.677
Li  0.437  0.437  0.874
Li  0.563  0.563  0.126



## TlHgSCl2 (PBE-GGA)

Data for crystalline TlHgSCl2 at its relaxed geometry.

Summary:
ΔE to the lowest computed polymorph ... 0.00 eV/f.u.

Unit cell a=5.424 b=5.424 c=4.984 alpha=90.00 beta=90.00 gamma=90.00
Positions (direct):
S  0.000  0.000  0.500
Tl  0.500  0.500  0.500
Hg  0.000  0.000  0.000
Cl  0.500  0.000  0.000
Cl  0.000  0.500  0.000



## CdRh (PBE-GGA)

Data for crystalline CdRh at its relaxed geometry.

Summary:
Energy of formation from the pure elements ... 0.05 eV/atom

Unit cell a=5.778 b=4.903 c=9.627 alpha=90.00 beta=90.00 gamma=90.00
Positions (direct):
Rh  0.749  0.583  0.376
Rh  0.751  0.417  0.876
Rh  0.994  0.087  0.370
Rh  0.249  0.917  0.624
Rh  0.494  0.413  0.630
Rh  0.006  0.587  0.130
Rh  0.251  0.083  0.124
Rh  0.506  0.913  0.870
Cd  0.759  0.093  0.119
Cd  0.006  0.905  0.879
Cd  0.741  0.907  0.619
Cd  0.494  0.095  0.379
Cd  0.241  0.593  0.381
Cd  0.506  0.595  0.121
Cd  0.994  0.405  0.621
Cd  0.259  0.407  0.881



no.,Fermi-level density of states (states/eV per atom)
1,0.85
2,0.57
3,1.37
4,0.97
5,1.16
6,0.62
7,0.89
8,1.21